# 1
{
  "formula": "LaGdTh4",
  "functional": "GGA-PBE",
  "state": "relaxed",
  "ef_kcal_per_mol_atoms": 5.59,
  "cell": [[0.0000, 4.7216, 4.7216], [4.7216, 0.0000, 4.7216], [4.7216, 4.7216, 0.0000]],
  "species": ["La", "Gd", "Th", "Th", "Th", "Th"],
  "fractional_positions": [[0.0000, 0.0000, 0.0000], [0.2500, 0.2500, 0.2500], [0.1268, 0.6244, 0.6244], [0.6244, 0.1268, 0.6244], [0.6244, 0.6244, 0.1268], [0.6244, 0.6244, 0.6244]]
}

# 2
{
  "formula": "Cd3RePt12",
  "functional": "GGA-PBE",
  "state": "relaxed",
  "ef_kcal_per_mol_atoms": -3.81,
  "cell": [[4.0031, 0.0000, 0.0000], [0.0000, 4.0031, 0.0000], [0.0000, 0.0000, 16.1728]],
  "species": ["Cd", "Cd", "Cd", "Re", "Pt", "Pt", "Pt", "Pt", "Pt", "Pt", "Pt", "Pt", "Pt", "Pt", "Pt", "Pt"],
  "fractional_positions": [[0.0000, 0.0000, 0.0000], [0.0000, 0.0000, 0.2521], [0.0000, 0.0000, 0.7479], [0.0000, 0.0000, 0.5000], [0.0000, 0.5000, 0.1265], [0.0000, 0.5000, 0.3833], [0.0000, 0.5000, 0.6167], [0.0000, 0.5000, 0.8735], [0.5000, 0.0000, 0.1265], [0.5000, 0.0000, 0.3833], [0.5000, 0.0000, 0.6167], [0.5000, 0.0000, 0.8735], [0.5000, 0.5000, 0.0000], [0.5000, 0.5000, 0.2540], [0.5000, 0.5000, 0.5000], [0.5000, 0.5000, 0.7460]]
}

# 3
{
  "formula": "InHgSe2",
  "functional": "GGA-PBE",
  "state": "relaxed",
  "formation_energy_uncorrected_ev_per_atom": 0.176,
  "cell": [[5.1431, 0.0000, 0.0000], [0.0000, 5.1431, 0.0000], [0.0000, 0.0000, 7.1898]],
  "species": ["In", "In", "Hg", "Hg", "Se", "Se", "Se", "Se"],
  "fractional_positions": [[0.0000, 0.0000, 0.0000], [0.5000, 0.5000, 0.5000], [0.0000, 0.5000, 0.2500], [0.5000, 0.0000, 0.7500], [0.0000, 0.0000, 0.5000], [0.0000, 0.5000, 0.7500], [0.5000, 0.0000, 0.2500], [0.5000, 0.5000, 0.0000]]
}

# 4
{
  "formula": "LiAl6Ru5",
  "functional": "GGA-PBE",
  "state": "relaxed",
  "ef_kcal_per_mol_atoms": -15.00,
  "cell": [[-2.1160, 3.0679, 6.3082], [2.1160, -3.0679, 6.3082], [2.1160, 3.0679, -6.3082]],
  "species": ["Li", "Al", "Al", "Al", "Al", "Al", "Al", "Ru", "Ru", "Ru", "Ru", "Ru"],
  "fractional_positions": [[0.0000, 0.0000, 0.0000], [0.0880, 0.8279, 0.2601], [0.2706, 0.5000, 0.7706], [0.4321, 0.1721, 0.2601], [0.5679, 0.8279, 0.7399], [0.7294, 0.5000, 0.2294], [0.9120, 0.1721, 0.7399], [0.1538, 0.6538, 0.5000], [0.3310, 0.3310, 0.0000], [0.5000, 0.0000, 0.5000], [0.6690, 0.6690, 0.0000], [0.8462, 0.3462, 0.5000]]
}

# 5
{
  "formula": "NdDyCuRh",
  "functional": "GGA-PBE",
  "state": "relaxed",
  "ef_kcal_per_mol_atoms": -11.02,
  "relative_energy_mev_per_atom": 40,
  "cell": [[7.0234, 0.0000, 0.0000], [0.0000, 7.0234, 0.0000], [0.0000, 0.0000, 7.0234]],
  "species": ["Nd", "Nd", "Nd", "Nd", "Dy", "Dy", "Dy", "Dy", "Cu", "Cu", "Cu", "Cu", "Rh", "Rh", "Rh", "Rh"],
  "fractional_positions": [[0.0000, 0.0000, 0.0000], [0.0000, 0.5000, 0.5000], [0.5000, 0.0000, 0.5000], [0.5000, 0.5000, 0.0000], [0.0000, 0.0000, 0.5000], [0.0000, 0.5000, 0.0000], [0.5000, 0.0000, 0.0000], [0.5000, 0.5000, 0.5000], [0.2500, 0.2500, 0.7500], [0.2500, 0.7500, 0.2500], [0.7500, 0.2500, 0.2500], [0.7500, 0.7500, 0.7500], [0.2500, 0.2500, 0.2500], [0.2500, 0.7500, 0.7500], [0.7500, 0.2500, 0.7500], [0.7500, 0.7500, 0.2500]]
}

# 6
{
  "formula": "Li5Dy2Tl4",
  "functional": "GGA-PBE",
  "state": "relaxed",
  "ef_kcal_per_mol_atoms": -2.51,
  "cell": [[0.0000, 4.6719, 9.0345], [3.1017, 0.0000, 9.0345], [3.1017, 4.6719, 0.0000]],
  "species": ["Li", "Li", "Li", "Li", "Li", "Dy", "Dy", "Tl", "Tl", "Tl", "Tl"],
  "fractional_positions": [[0.0000, 0.0000, 0.0000], [0.0000, 0.0000, 0.5000], [0.2500, 0.2500, 0.2500], [0.5000, 0.5000, 0.0000], [0.7500, 0.7500, 0.7500], [0.3777, 0.3777, 0.6223], [0.6223, 0.6223, 0.3777], [0.0309, 0.7085, 0.2915], [0.2915, 0.9691, 0.0309], [0.7085, 0.0309, 0.9691], [0.9691, 0.2915, 0.7085]]
}

# 7
{
  "formula": "YHgIr2",
  "functional": "GGA-PBE",
  "state": "relaxed",
  "ef_kcal_per_mol_atoms": -3.48,
  "cell": [[4.2938, 0.0000, 0.0000], [0.0000, 4.2938, 0.0000], [0.0000, 0.0000, 8.1011]],
  "species": ["Y", "Y", "Hg", "Hg", "Ir", "Ir", "Ir", "Ir"],
  "fractional_positions": [[0.0000, 0.0000, 0.0000], [0.5000, 0.5000, 0.5000], [0.0000, 0.0000, 0.5000], [0.5000, 0.5000, 0.0000], [0.0000, 0.5000, 0.2500], [0.0000, 0.5000, 0.7500], [0.5000, 0.0000, 0.2500], [0.5000, 0.0000, 0.7500]]
}

# 8
{
  "formula": "Ho2Tm6In",
  "functional": "GGA-PBE",
  "state": "relaxed",
  "ef_kcal_per_mol_atoms": -1.73,
  "relative_energy_mev_per_atom": 0,
  "cell": [[5.5129, -2.4290, 0.0000], [5.5129, 2.4290, 0.0000], [-3.4633, 0.0000, 9.7995]],
  "species": ["Ho", "Ho", "Tm", "Tm", "Tm", "Tm", "Tm", "Tm", "In"],
  "fractional_positions": [[0.1592, 0.1592, 0.2178], [0.8408, 0.8408, 0.7822], [0.1641, 0.1641, 0.5533], [0.1741, 0.1741, 0.8925], [0.4945, 0.4945, 0.3288], [0.5055, 0.5055, 0.6712], [0.8259, 0.8259, 0.1075], [0.8359, 0.8359, 0.4467], [0.5000, 0.5000, 0.0000]]
}

# 9
{
  "formula": "LiBiPb2S",
  "functional": "GGA-PBE",
  "state": "relaxed",
  "formation_energy_uncorrected_ev_per_atom": -0.318,
  "cell": [[5.6895, 0.0000, 0.0000], [0.0000, 5.6895, 0.0000], [0.0000, 0.0000, 4.4932]],
  "species": ["Li", "Bi", "Pb", "Pb", "S"],
  "fractional_positions": [[0.0000, 0.0000, 0.0000], [0.5000, 0.5000, 0.0000], [0.0000, 0.5000, 0.5000], [0.5000, 0.0000, 0.5000], [0.0000, 0.0000, 0.5000]]
}

# 10
{
  "formula": "PuPaAlCu",
  "functional": "GGA-PBE",
  "state": "relaxed",
  "ef_kcal_per_mol_atoms": 1.95,
  "cell": [[6.8263, 0.0000, 0.0000], [0.0000, 6.8263, 0.0000], [0.0000, 0.0000, 6.8263]],
  "species": ["Pu", "Pu", "Pu", "Pu", "Pa", "Pa", "Pa", "Pa", "Al", "Al", "Al", "Al", "Cu", "Cu", "Cu", "Cu"],
  "fractional_positions": [[0.0000, 0.0000, 0.0000], [0.0000, 0.5000, 0.5000], [0.5000, 0.0000, 0.5000], [0.5000, 0.5000, 0.0000], [0.2500, 0.2500, 0.2500], [0.2500, 0.7500, 0.7500], [0.7500, 0.2500, 0.7500], [0.7500, 0.7500, 0.2500], [0.2500, 0.2500, 0.7500], [0.2500, 0.7500, 0.2500], [0.7500, 0.2500, 0.2500], [0.7500, 0.7500, 0.7500], [0.0000, 0.0000, 0.5000], [0.0000, 0.5000, 0.0000], [0.5000, 0.0000, 0.0000], [0.5000, 0.5000, 0.5000]]
}

# 11
{
  "formula": "NaLiTlF5",
  "functional": "GGA-PBE",
  "state": "relaxed",
  "formation_energy_uncorrected_ev_per_atom": -2.357,
  "cell": [[3.4322, -4.8023, 0.0000], [3.4322, 4.8023, 0.0000], [-3.0689, 0.0000, 7.3872]],
  "species": ["Na", "Na", "Li", "Li", "Tl", "Tl", "F", "F", "F", "F", "F", "F", "F", "F", "F", "F"],
  "fractional_positions": [[0.1451, 0.8549, 0.7500], [0.8549, 0.1451, 0.2500], [0.1874, 0.8126, 0.2500], [0.8126, 0.1874, 0.7500], [0.5000, 0.5000, 0.0000], [0.5000, 0.5000, 0.5000], [0.1128, 0.2301, 0.9245], [0.1732, 0.5528, 0.3538], [0.2301, 0.1128, 0.4245], [0.3904, 0.6096, 0.7500], [0.4472, 0.8268, 0.1462], [0.5528, 0.1732, 0.8538], [0.6096, 0.3904, 0.2500], [0.7699, 0.8872, 0.5755], [0.8268, 0.4472, 0.6462], [0.8872, 0.7699, 0.0755]]
}

# 12
{
  "formula": "SrAl3Au5",
  "functional": "GGA-PBE",
  "state": "relaxed",
  "ef_kcal_per_mol_atoms": -11.47,
  "cell": [[2.0502, -6.6918, 0.0000], [2.0502, 6.6918, 0.0000], [0.0000, 0.0000, 13.6430]],
  "species": ["Sr", "Sr", "Al", "Al", "Al", "Al", "Al", "Al", "Au", "Au", "Au", "Au", "Au", "Au", "Au", "Au", "Au", "Au"],
  "fractional_positions": [[0.1726, 0.8274, 0.7500], [0.8274, 0.1726, 0.2500], [0.0987, 0.9013, 0.2500], [0.3723, 0.6277, 0.0233], [0.3723, 0.6277, 0.4767], [0.6277, 0.3723, 0.5233], [0.6277, 0.3723, 0.9767], [0.9013, 0.0987, 0.7500], [0.0000, 0.0000, 0.0000], [0.0000, 0.0000, 0.5000], [0.1985, 0.8015, 0.0891], [0.1985, 0.8015, 0.4109], [0.4791, 0.5209, 0.6499], [0.4791, 0.5209, 0.8501], [0.5209, 0.4791, 0.1499], [0.5209, 0.4791, 0.3501], [0.8015, 0.1985, 0.5891], [0.8015, 0.1985, 0.9109]]
}

# 13
{
  "formula": "RbAl2Ge",
  "functional": "GGA-PBE",
  "state": "relaxed",
  "ef_kcal_per_mol_atoms": 5.76,
  "cell": [[5.3741, 0.0000, 0.0000], [0.0000, 5.3741, 0.0000], [0.0000, 0.0000, 17.8452]],
  "species": ["Rb", "Rb", "Rb", "Rb", "Al", "Al", "Al", "Al", "Al", "Al", "Al", "Al", "Ge", "Ge", "Ge", "Ge"],
  "fractional_positions": [[0.0000, 0.2500, 0.3750], [0.0000, 0.7500, 0.6250], [0.5000, 0.2500, 0.1250], [0.5000, 0.7500, 0.8750], [0.0000, 0.0000, 0.0000], [0.0000, 0.5000, 0.0000], [0.2500, 0.2500, 0.7500], [0.2500, 0.7500, 0.2500], [0.5000, 0.0000, 0.5000], [0.5000, 0.5000, 0.5000], [0.7500, 0.2500, 0.7500], [0.7500, 0.7500, 0.2500], [0.0000, 0.2500, 0.8750], [0.0000, 0.7500, 0.1250], [0.5000, 0.2500, 0.6250], [0.5000, 0.7500, 0.3750]]
}

# 14
{
  "formula": "CsNaI2",
  "functional": "GGA-PBE",
  "state": "relaxed",
  "formation_energy_uncorrected_ev_per_atom": -1.369,
  "relative_energy_mev_per_atom": 0,
  "cell": [[5.0070, 0.0000, 0.0000], [-2.5035, 4.3362, 0.0000], [0.0000, 0.0000, 25.4999]],
  "species": ["Cs", "Cs", "Cs", "Na", "Na", "Na", "I", "I", "I", "I", "I", "I"],
  "fractional_positions": [[0.0000, 0.0000, 0.0000], [0.3333, 0.6667, 0.6667], [0.6667, 0.3333, 0.3333], [0.0000, 0.0000, 0.5000], [0.3333, 0.6667, 0.1667], [0.6667, 0.3333, 0.8333], [0.0000, 0.0000, 0.2345], [0.0000, 0.0000, 0.7655], [0.3333, 0.6667, 0.4322], [0.3333, 0.6667, 0.9012], [0.6667, 0.3333, 0.0988], [0.6667, 0.3333, 0.5678]]
}

# 15
{
  "formula": "CaSc2ZnH",
  "functional": "GGA-PBE",
  "state": "relaxed",
  "cell": [[4.4806, 0.0000, 0.0000], [0.0000, 4.4806, 0.0000], [0.0000, 0.0000, 4.8058]],
  "species": ["Ca", "Sc", "Sc", "Zn", "H"],
  "fractional_positions": [[0.0000, 0.0000, 0.0000], [0.0000, 0.5000, 0.5000], [0.5000, 0.0000, 0.5000], [0.5000, 0.5000, 0.0000], [0.0000, 0.0000, 0.5000]]
}

# 16
{
  "formula": "Pr8Y2Cd",
  "functional": "GGA-PBE",
  "state": "relaxed",
  "ef_kcal_per_mol_atoms": -0.47,
  "cell": [[5.7808, -2.5930, 0.0000], [5.7808, 2.5930, 0.0000], [-3.1215, 0.0000, 12.4614]],
  "species": ["Pr", "Pr", "Pr", "Pr", "Pr", "Pr", "Pr", "Pr", "Y", "Y", "Cd"],
  "fractional_positions": [[0.0365, 0.0365, 0.3234], [0.1406, 0.1406, 0.9531], [0.2469, 0.2469, 0.5867], [0.4100, 0.4100, 0.8595], [0.5900, 0.5900, 0.1405], [0.7531, 0.7531, 0.4133], [0.8594, 0.8594, 0.0469], [0.9635, 0.9635, 0.6766], [0.3157, 0.3157, 0.2400], [0.6843, 0.6843, 0.7600], [0.5000, 0.5000, 0.5000]]
}

# 17
{
  "formula": "Ca2MnWN5",
  "functional": "GGA-PBE",
  "state": "relaxed",
  "formation_energy_uncorrected_ev_per_atom": -0.622,
  "cell": [[1.5656, -7.2634, 0.0000], [1.5656, 7.2634, 0.0000], [0.0000, 0.0000, 10.0152]],
  "species": ["Ca", "Ca", "Ca", "Ca", "Mn", "Mn", "W", "W", "N", "N", "N", "N", "N", "N", "N", "N", "N", "N"],
  "fractional_positions": [[0.1223, 0.8777, 0.5000], [0.1296, 0.8704, 0.1297], [0.8704, 0.1296, 0.6297], [0.8777, 0.1223, 0.0000], [0.4502, 0.5498, 0.2476], [0.5498, 0.4502, 0.7476], [0.2121, 0.7879, 0.8381], [0.7879, 0.2121, 0.3381], [0.0462, 0.9538, 0.8321], [0.2971, 0.7029, 0.4676], [0.3236, 0.6764, 0.2002], [0.3364, 0.6636, 0.8154], [0.4979, 0.5021, 0.0990], [0.5021, 0.4979, 0.5990], [0.6636, 0.3364, 0.3154], [0.6764, 0.3236, 0.7002], [0.7029, 0.2971, 0.9676], [0.9538, 0.0462, 0.3321]]
}

# 18
{
  "formula": "YHgSb3",
  "functional": "GGA-PBE",
  "state": "relaxed",
  "formation_energy_uncorrected_ev_per_atom": 0.283,
  "relative_energy_mev_per_atom": 0,
  "cell": [[5.8041, 0.0000, 0.0000], [0.0000, 5.8041, 0.0000], [0.0000, 0.0000, 5.8041]],
  "species": ["Y", "Hg", "Sb", "Sb", "Sb"],
  "fractional_positions": [[0.0000, 0.0000, 0.0000], [0.5000, 0.5000, 0.5000], [0.0000, 0.0000, 0.5000], [0.0000, 0.5000, 0.0000], [0.5000, 0.0000, 0.0000]]
}

# 19
{
  "formula": "TmPu2ScSb4",
  "functional": "GGA-PBE",
  "state": "relaxed",
  "formation_energy_uncorrected_ev_per_atom": -0.793,
  "cell": [[7.4796, 0.0000, 0.0000], [0.0000, 4.3500, 0.0000], [-2.5282, 0.0000, 7.0981]],
  "species": ["Tm", "Pu", "Pu", "Sc", "Sb", "Sb", "Sb", "Sb"],
  "fractional_positions": [[0.0000, 0.0000, 0.0000], [0.5000, 0.0000, 0.5000], [0.5000, 0.5000, 0.0000], [0.0000, 0.5000, 0.5000], [0.2380, 0.0000, 0.7405], [0.2417, 0.5000, 0.2528], [0.7583, 0.5000, 0.7472], [0.7620, 0.0000, 0.2595]]
}

# 20
{
  "formula": "CaRuC3",
  "functional": "GGA-PBE",
  "state": "relaxed",
  "ef_kcal_per_mol_atoms": 85.03,
  "relative_energy_mev_per_atom": 2382,
  "cell": [[4.1283, 0.0000, 0.0000], [0.0000, 4.1283, 0.0000], [0.0000, 0.0000, 4.1283]],
  "species": ["Ca", "Ru", "C", "C", "C"],
  "fractional_positions": [[0.0000, 0.0000, 0.0000], [0.5000, 0.5000, 0.5000], [0.0000, 0.0000, 0.5000], [0.0000, 0.5000, 0.0000], [0.5000, 0.0000, 0.0000]]
}

# 21
{
  "formula": "NbRu2Cl",
  "functional": "GGA-PBE",
  "state": "relaxed",
  "formation_energy_uncorrected_ev_per_atom": 0.663,
  "relative_energy_mev_per_atom": 0,
  "cell": [[6.3304, 0.0000, 0.0000], [0.0000, 6.3304, 0.0000], [0.0000, 0.0000, 6.3304]],
  "species": ["Nb", "Nb", "Nb", "Nb", "Ru", "Ru", "Ru", "Ru", "Ru", "Ru", "Ru", "Ru", "Cl", "Cl", "Cl", "Cl"],
  "fractional_positions": [[0.0000, 0.0000, 0.0000], [0.0000, 0.5000, 0.5000], [0.5000, 0.0000, 0.5000], [0.5000, 0.5000, 0.0000], [0.2500, 0.2500, 0.2500], [0.2500, 0.2500, 0.7500], [0.2500, 0.7500, 0.2500], [0.2500, 0.7500, 0.7500], [0.7500, 0.2500, 0.2500], [0.7500, 0.2500, 0.7500], [0.7500, 0.7500, 0.2500], [0.7500, 0.7500, 0.7500], [0.0000, 0.0000, 0.5000], [0.0000, 0.5000, 0.0000], [0.5000, 0.0000, 0.0000], [0.5000, 0.5000, 0.5000]]
}

# 22
{
  "formula": "La2AgSb3Pt4",
  "functional": "GGA-PBE",
  "state": "relaxed",
  "formation_energy_uncorrected_ev_per_atom": -0.829,
  "cell": [[4.6278, 0.0000, 0.0000], [0.0000, 4.6278, 0.0000], [0.0000, 0.0000, 10.6152]],
  "species": ["La", "La", "Ag", "Sb", "Sb", "Sb", "Pt", "Pt", "Pt", "Pt"],
  "fractional_positions": [[0.0000, 0.5000, 0.2435], [0.5000, 0.0000, 0.7565], [0.0000, 0.0000, 0.5000], [0.0000, 0.5000, 0.8708], [0.5000, 0.0000, 0.1292], [0.5000, 0.5000, 0.5000], [0.0000, 0.0000, 0.0000], [0.0000, 0.5000, 0.6292], [0.5000, 0.0000, 0.3708], [0.5000, 0.5000, 0.0000]]
}

# 23
{
  "formula": "Er3ThZn2",
  "functional": "GGA-PBE",
  "state": "relaxed",
  "ef_kcal_per_mol_atoms": -5.42,
  "cell": [[3.5314, 0.0000, 0.0000], [0.0000, 3.5314, 0.0000], [0.0000, 0.0000, 12.0850]],
  "species": ["Er", "Er", "Er", "Th", "Zn", "Zn"],
  "fractional_positions": [[0.0000, 0.0000, 0.0000], [0.0000, 0.0000, 0.2940], [0.0000, 0.0000, 0.7060], [0.5000, 0.5000, 0.5000], [0.5000, 0.5000, 0.1457], [0.5000, 0.5000, 0.8543]]
}

# 24
{
  "formula": "Rb2CrI2Cl2",
  "functional": "GGA-PBE",
  "state": "relaxed",
  "formation_energy_uncorrected_ev_per_atom": -1.105,
  "relative_energy_mev_per_atom": 176,
  "cell": [[5.5603, -4.0919, 0.0000], [5.5603, 4.0919, 0.0000], [0.0000, 0.0000, 15.6233]],
  "species": ["Rb", "Rb", "Rb", "Rb", "Cr", "Cr", "I", "I", "I", "I", "Cl", "Cl", "Cl", "Cl"],
  "fractional_positions": [[0.1751, 0.1751, 0.0000], [0.3249, 0.3249, 0.5000], [0.6751, 0.6751, 0.5000], [0.8249, 0.8249, 0.0000], [0.0000, 0.0000, 0.5000], [0.5000, 0.5000, 0.0000], [0.2077, 0.7923, 0.6351], [0.2923, 0.7077, 0.1351], [0.7077, 0.2923, 0.8649], [0.7923, 0.2077, 0.3649], [0.2240, 0.7760, 0.4073], [0.2760, 0.7240, 0.9073], [0.7240, 0.2760, 0.0927], [0.7760, 0.2240, 0.5927]]
}

| no. | raw total energy (eV/atom) |
| --- | --- |
| 1 | -7.87 |
| 2 | -5.65 |
| 3 | -2.33 |
| 4 | -6.55 |
| 5 | -5.68 |
| 6 | -2.68 |
| 7 | -6.27 |
| 8 | -4.38 |
| 9 | -3.79 |
| 10 | -7.83 |
| 11 | -4.23 |
| 12 | -3.75 |
| 13 | -3.02 |
| 14 | -2.69 |
| 15 | -3.97 |
| 16 | -4.75 |
| 17 | -8.15 |
| 18 | -3.54 |
| 19 | -7.79 |
| 20 | -4.10 |
| 21 | -6.95 |
| 22 | -5.75 |
| 23 | -4.18 |
| 24 | -3.73 |